No. 1
{"formula": "GdRh2C", "functional": "GGA-PBE", "state": "relaxed", "cell": [[-3.1391, 0.8273, -0.1929], [-2.2760, -1.9504, 1.2615], [-1.2948, 2.9886, 6.4767]], "species": ["C", "Gd", "Rh", "Rh"], "fractional_positions": [[0.0000, 0.0000, 0.0000], [0.5000, 0.5000, 0.5000], [0.7144, 0.7144, 0.8568], [0.2856, 0.2856, 0.1432]], "formation_enthalpy_0k_ev_per_atom": 0.161, "e_tot_ev_per_atom": -9.34, "n_ef_per_ev_cell": 2.8}

=====

No. 2
{"formula": "SrZr2Ni", "functional": "GGA-PBE", "state": "relaxed", "cell": [[-3.1688, 0.4170, 3.7660], [-2.1520, 4.3439, 0.9475], [-4.8207, 0.6131, -0.8849]], "species": ["Sr", "Zr", "Zr", "Ni"], "fractional_positions": [[0.5000, 0.5000, 0.5000], [0.2500, 0.2500, 0.2500], [0.7500, 0.7500, 0.7500], [0.0000, 0.0000, 0.0000]], "formation_enthalpy_0k_ev_per_atom": 0.604, "e_tot_ev_per_atom": -5.54, "e_above_lowest_polymorph_ev_per_fu": 2.34, "n_ef_per_ev_cell": 4.6}

=====

No. 3
{"formula": "LiTaBi2O8", "functional": "GGA-PBE", "state": "relaxed", "cell": [[-2.0041, -3.3567, 2.9407], [-1.3844, -2.6798, -3.8424], [5.7250, -3.2435, 0.1993]], "species": ["Li", "Ta", "Bi", "Bi", "O", "O", "O", "O", "O", "O", "O", "O"], "fractional_positions": [[0.0000, 0.0000, 0.5000], [0.0000, 0.0000, 0.0000], [0.5000, 0.5000, 0.7436], [0.5000, 0.5000, 0.2564], [0.1904, 0.8076, 0.2237], [0.7029, 0.7054, 0.0000], [0.8096, 0.1924, 0.2237], [0.8096, 0.1924, 0.7763], [0.2971, 0.2946, 0.0000], [0.1904, 0.8076, 0.7763], [0.6994, 0.7017, 0.5000], [0.3006, 0.2983, 0.5000]], "e_tot_ev_per_atom": -6.62, "e_form_raw_mev_per_atom": -1522, "n_ef_per_ev_cell": 0.7}

=====

No. 4
{"formula": "Mn2AlTl", "functional": "GGA-PBE", "state": "relaxed", "cell": [[-4.1009, 0.9210, 1.9911], [-2.9340, -1.4967, 3.2835], [1.6491, 2.9887, 4.1020]], "species": ["Tl", "Mn", "Mn", "Al"], "fractional_positions": [[0.7500, 0.7500, 0.7500], [0.9934, 0.9934, 0.0367], [0.5066, 0.5066, 0.4633], [0.2500, 0.2500, 0.2500]], "formation_enthalpy_0k_ev_per_atom": 0.352, "e_tot_ev_per_atom": -5.76, "e_above_lowest_polymorph_ev_per_fu": 0.54, "n_ef_per_ev_cell": 3.9}

=====

No. 5
{"formula": "TlNiH2Se", "functional": "GGA-PBE", "state": "relaxed", "cell": [[-1.7604, 0.4190, -3.1757], [4.7574, -2.7241, -2.9965], [-1.5857, -3.2626, 0.4485]], "species": ["Ni", "Tl", "Se", "H", "H"], "fractional_positions": [[0.5000, 0.5000, 0.5000], [0.0000, 0.0000, 0.0000], [0.0000, 0.5000, 0.0000], [0.0000, 0.0000, 0.5000], [0.5000, 0.0000, 0.0000]], "e_tot_ev_per_atom": -3.23, "n_ef_per_ev_cell": 3.5}

=====

No. 6
{"formula": "MgTe2CSe", "functional": "GGA-PBE", "state": "relaxed", "cell": [[5.5076, 0.0000, 0.0000], [0.0000, 4.8614, 0.0000], [0.0000, 0.0000, 5.5076]], "species": ["Mg", "Te", "Te", "C", "Se"], "fractional_positions": [[0.0000, 0.0000, 0.0000], [0.0000, 0.0000, 0.5000], [0.5000, 0.0000, 0.0000], [0.5000, 0.5000, 0.5000], [0.0000, 0.5000, 0.0000]], "e_tot_ev_per_atom": -2.55, "e_form_raw_mev_per_atom": 1565, "n_ef_per_ev_cell": 6.8}

=====

No. 7
{"formula": "Dy5Y3Bi8", "functional": "GGA-PBE", "state": "relaxed", "cell": [[7.7744, 0.0000, 4.4532], [2.6118, 7.3226, 4.4532], [0.0309, 0.0218, 8.9590]], "species": ["Dy", "Dy", "Dy", "Dy", "Dy", "Y", "Y", "Y", "Bi", "Bi", "Bi", "Bi", "Bi", "Bi", "Bi", "Bi"], "fractional_positions": [[0.5000, 0.0000, 0.0000], [0.5000, 0.5000, 0.0000], [0.0000, 0.0000, 0.0000], [0.0000, 0.5000, 0.0000], [0.5000, 0.5000, 0.5000], [0.5000, 0.0000, 0.5000], [0.0000, 0.0000, 0.5000], [0.0000, 0.5000, 0.5000], [0.2500, 0.2500, 0.7504], [0.2500, 0.7496, 0.7504], [0.7496, 0.2500, 0.7504], [0.7497, 0.7497, 0.7508], [0.7500, 0.7500, 0.2496], [0.7500, 0.2504, 0.2496], [0.2504, 0.7500, 0.2496], [0.2503, 0.2503, 0.2492]], "formation_enthalpy_0k_ev_per_atom": -0.873, "e_tot_ev_per_atom": -5.46, "n_ef_per_ev_cell": 3.0}

=====

No. 8
{"formula": "Co2TcPt", "functional": "GGA-PBE", "state": "relaxed", "cell": [[4.5147, 0.0022, 0.0000], [-1.3550, 4.3065, 0.0000], [0.0000, 0.0000, 2.6475]], "species": ["Co", "Co", "Pt", "Tc"], "fractional_positions": [[0.0000, 0.0000, 0.0000], [0.5000, 0.5000, 0.0000], [0.5000, 0.0000, 0.5000], [0.0000, 0.5000, 0.5000]], "formation_enthalpy_0k_ev_per_atom": 0.060, "e_tot_ev_per_atom": -7.59, "e_above_lowest_polymorph_ev_per_fu": 0.29, "n_ef_per_ev_cell": 5.5}